[1]
Below is a relaxed BaCa3Fe crystal, with properties calculated at the PBE-GGA level.

Output
Magnetic moment = 0.7101 μB per atom
DFT total energy = -8.66 eV/f.u.
Space group = No. 221
Formation energy = 149.11 kJ per mole of atoms

abc: 5.811 5.811 5.811
angles: 90.00 90.00 90.00
Fractional coordinates of all 5 atoms:
Ba 0.000 0.000 0.000
Ca 0.000 0.000 0.500
Ca 0.000 0.500 0.000
Ca 0.500 0.000 0.000
Fe 0.500 0.500 0.500


[2]
Below is a relaxed CoHPdPt2 crystal, with properties calculated at the PBE-GGA level.

Output
Magnetic moment = 0.6955 μB per atom
DFT total energy = -18.41 eV/f.u.
Energy above the most stable polymorph in this dataset = 1.809 eV/atom
Space group = No. 123

abc: 4.910 4.910 4.573
angles: 90.00 90.00 90.00
Fractional coordinates of all 5 atoms:
Co 0.000 0.000 0.000
H 0.500 0.500 0.000
Pd 0.000 0.000 0.500
Pt 0.000 0.500 0.500
Pt 0.500 0.000 0.500


[3]
Below is a relaxed Tb7Dy12Zr crystal, with properties calculated at the PBE-GGA level.

Output
Magnetic moment = 0.0000 μB per atom
DFT total energy = -80.90 eV/f.u.
Energy above the most stable polymorph in this dataset = 0.500 eV/atom
Space group = No. 229
Formation energy = 73.76 kJ per mole of atoms

abc: 9.809 9.809 9.809
angles: 109.47 109.47 109.47
Fractional coordinates of all 20 atoms:
Tb 0.000 0.000 0.500
Tb 0.000 0.500 0.000
Tb 0.000 0.500 0.500
Tb 0.500 0.000 0.000
Tb 0.500 0.000 0.500
Tb 0.500 0.500 0.000
Tb 0.500 0.500 0.500
Dy 0.000 0.219 0.781
Dy 0.000 0.781 0.219
Dy 0.219 0.000 0.781
Dy 0.219 0.219 0.439
Dy 0.219 0.439 0.219
Dy 0.219 0.781 0.000
Dy 0.439 0.219 0.219
Dy 0.561 0.781 0.781
Dy 0.781 0.000 0.219
Dy 0.781 0.219 0.000
Dy 0.781 0.561 0.781
Dy 0.781 0.781 0.561
Zr 0.000 0.000 0.000


[4]
Below is a relaxed Ba2ZnIn4Ga3 crystal, with properties calculated at the PBE-GGA level.

Output
Magnetic moment = 0.0000 μB per atom
DFT total energy = -28.81 eV/f.u.
Space group = No. 115
Formation energy = -35.31 kJ per mole of atoms

abc: 4.828 4.828 11.546
angles: 90.00 90.00 90.00
Fractional coordinates of all 10 atoms:
Ba 0.000 0.500 0.244
Ba 0.500 0.000 0.756
Zn 0.500 0.500 0.000
In 0.000 0.000 0.500
In 0.000 0.500 0.875
In 0.500 0.000 0.125
In 0.500 0.500 0.500
Ga 0.000 0.000 0.000
Ga 0.000 0.500 0.637
Ga 0.500 0.000 0.363


[5]
Below is a relaxed CeZrTi crystal, with properties calculated at the PBE-GGA level.

Output
Magnetic moment = 0.0000 μB per atom
DFT total energy = -21.84 eV/f.u.
Energy above the most stable polymorph in this dataset = 0.113 eV/atom
Space group = No. 156
Formation energy = 17.14 kJ per mole of atoms

abc: 4.954 4.954 3.194
angles: 90.00 90.00 120.00
Fractional coordinates of all 3 atoms:
Ce 0.000 0.000 0.000
Zr 0.667 0.333 0.594
Ti 0.333 0.667 0.370


[6]
Below is a relaxed Nd2Ga3FePt4 crystal, with properties calculated at the PBE-GGA level.

Output
Magnetic moment = 0.2500 μB per atom
DFT total energy = -59.65 eV/f.u.
Space group = No. 115
Formation energy = -81.13 kJ per mole of atoms

abc: 4.187 4.187 10.838
angles: 90.00 90.00 90.00
Fractional coordinates of all 10 atoms:
Nd 0.000 0.500 0.244
Nd 0.500 0.000 0.756
Ga 0.000 0.000 0.000
Ga 0.000 0.500 0.635
Ga 0.500 0.000 0.365
Fe 0.500 0.500 0.000
Pt 0.000 0.000 0.500
Pt 0.000 0.500 0.865
Pt 0.500 0.000 0.135
Pt 0.500 0.500 0.500


Please write out number 3 again, unchanged.
Below is a relaxed Tb7Dy12Zr crystal, with properties calculated at the PBE-GGA level.

Output
Magnetic moment = 0.0000 μB per atom
DFT total energy = -80.90 eV/f.u.
Energy above the most stable polymorph in this dataset = 0.500 eV/atom
Space group = No. 229
Formation energy = 73.76 kJ per mole of atoms

abc: 9.809 9.809 9.809
angles: 109.47 109.47 109.47
Fractional coordinates of all 20 atoms:
Tb 0.000 0.000 0.500
Tb 0.000 0.500 0.000
Tb 0.000 0.500 0.500
Tb 0.500 0.000 0.000
Tb 0.500 0.000 0.500
Tb 0.500 0.500 0.000
Tb 0.500 0.500 0.500
Dy 0.000 0.219 0.781
Dy 0.000 0.781 0.219
Dy 0.219 0.000 0.781
Dy 0.219 0.219 0.439
Dy 0.219 0.439 0.219
Dy 0.219 0.781 0.000
Dy 0.439 0.219 0.219
Dy 0.561 0.781 0.781
Dy 0.781 0.000 0.219
Dy 0.781 0.219 0.000
Dy 0.781 0.561 0.781
Dy 0.781 0.781 0.561
Zr 0.000 0.000 0.000